[1]
Ti2MnCd: relaxed, PBE.

Values from the calculation:
M_tot, μB per cell: 0.002
Crystal system: tetragonal
Formation enthalpy at 0 K, kJ per mole of atoms: 67
VASP energy, eV for the cell shown: -92.3

Unit cell a=3.8287 b=3.8287 c=18.7811 alpha=90.00 beta=90.00 gamma=90.00
Sites, in units of the cell vectors:
Ti 0.2306 0.2500 0.1250
Ti 0.2500 0.7306 0.3750
Ti 0.2500 0.7694 0.8750
Ti 0.2694 0.2500 0.6250
Ti 0.7306 0.7500 0.6250
Ti 0.7500 0.2306 0.8750
Ti 0.7500 0.2694 0.3750
Ti 0.7694 0.7500 0.1250
Mn 0.0000 0.0000 0.0000
Mn 0.0000 0.5000 0.2500
Mn 0.5000 0.0000 0.7500
Mn 0.5000 0.5000 0.5000
Cd 0.0000 0.0000 0.5000
Cd 0.0000 0.5000 0.7500
Cd 0.5000 0.0000 0.2500
Cd 0.5000 0.5000 0.0000


[2]
Ti2Mn2Cd: relaxed, PBE.

Values from the calculation:
M_tot, μB per cell: 7.047
Crystal system: tetragonal
Formation enthalpy at 0 K, kJ per mole of atoms: 37
VASP energy, eV for the cell shown: -66.3

Unit cell a=3.9199 b=3.9199 c=11.0021 alpha=90.00 beta=90.00 gamma=90.00
Sites, in units of the cell vectors:
Ti 0.0000 0.5000 0.2500
Ti 0.0000 0.5000 0.7500
Ti 0.5000 0.0000 0.2500
Ti 0.5000 0.0000 0.7500
Mn 0.0000 0.0000 0.1022
Mn 0.0000 0.0000 0.8978
Mn 0.5000 0.5000 0.3978
Mn 0.5000 0.5000 0.6022
Cd 0.0000 0.0000 0.5000
Cd 0.5000 0.5000 0.0000


[3]
Ti5Mn4Cd: relaxed, PBE.

Values from the calculation:
M_tot, μB per cell: 1.553
Crystal system: tetragonal
Formation enthalpy at 0 K, kJ per mole of atoms: -20
VASP energy, eV for the cell shown: -79.2

Unit cell a=3.0036 b=3.0036 c=16.0566 alpha=90.00 beta=90.00 gamma=90.00
Sites, in units of the cell vectors:
Ti 0.0000 0.0000 0.0000
Ti 0.0000 0.0000 0.1857
Ti 0.0000 0.0000 0.3648
Ti 0.0000 0.0000 0.6352
Ti 0.0000 0.0000 0.8143
Mn 0.5000 0.5000 0.0925
Mn 0.5000 0.5000 0.2820
Mn 0.5000 0.5000 0.7180
Mn 0.5000 0.5000 0.9075
Cd 0.5000 0.5000 0.5000


[4]
Ti3MnCd: relaxed, PBE.

Values from the calculation:
M_tot, μB per cell: 1.403
Crystal system: cubic
Energy above the most stable polymorph in this dataset, meV per atom: 0
Formation enthalpy at 0 K, kJ per mole of atoms: 30
VASP energy, eV for the cell shown: -32.2

Unit cell a=4.5428 b=4.5428 c=4.5428 alpha=90.00 beta=90.00 gamma=90.00
Sites, in units of the cell vectors:
Ti 0.0000 0.0000 0.5000
Ti 0.0000 0.5000 0.0000
Ti 0.5000 0.0000 0.0000
Mn 0.0000 0.0000 0.0000
Cd 0.5000 0.5000 0.5000


[5]
TiMn2CdW: relaxed, PBE.

Values from the calculation:
M_tot, μB per cell: 6.038
Crystal system: tetragonal
Formation enthalpy at 0 K, kJ per mole of atoms: 107
VASP energy, eV for the cell shown: -34.6

Unit cell a=4.7003 b=4.7003 c=4.7640 alpha=90.00 beta=90.00 gamma=90.00
Sites, in units of the cell vectors:
Ti 0.0000 0.0000 0.0000
Mn 0.0000 0.5000 0.5000
Mn 0.5000 0.0000 0.5000
Cd 0.5000 0.5000 0.0000
W 0.0000 0.0000 0.5000


[6]
Mn2Tl2Cd: relaxed, PBE.

Values from the calculation:
M_tot, μB per cell: 13.952
Crystal system: tetragonal
Energy above the most stable polymorph in this dataset, meV per atom: 0
Formation enthalpy at 0 K, kJ per mole of atoms: 53
VASP energy, eV for the cell shown: -42.5

Unit cell a=3.5804 b=3.5804 c=17.9450 alpha=90.00 beta=90.00 gamma=90.00
Sites, in units of the cell vectors:
Mn 0.0000 0.5000 0.2500
Mn 0.0000 0.5000 0.7500
Mn 0.5000 0.0000 0.2500
Mn 0.5000 0.0000 0.7500
Tl 0.0000 0.0000 0.1172
Tl 0.0000 0.0000 0.8828
Tl 0.5000 0.5000 0.3828
Tl 0.5000 0.5000 0.6172
Cd 0.0000 0.0000 0.5000
Cd 0.5000 0.5000 0.0000


[7]
MnTlCd: relaxed, PBE.

Values from the calculation:
M_tot, μB per cell: 4.067
Crystal system: trigonal
Energy above the most stable polymorph in this dataset, meV per atom: 38
Formation enthalpy at 0 K, kJ per mole of atoms: 37
VASP energy, eV for the cell shown: -11.3

Unit cell a=3.2662 b=3.2662 c=7.1408 alpha=90.00 beta=90.00 gamma=120.00
Sites, in units of the cell vectors:
Mn 0.0000 0.0000 0.0000
Tl 0.6667 0.3333 0.3238
Cd 0.3333 0.6667 0.6953


[8]
MnTlCd: relaxed, PBE.

Values from the calculation:
M_tot, μB per cell: 7.698
Crystal system: tetragonal
Energy above the most stable polymorph in this dataset, meV per atom: 0
Formation enthalpy at 0 K, kJ per mole of atoms: 33
VASP energy, eV for the cell shown: -22.8

Unit cell a=3.2170 b=3.2170 c=12.4915 alpha=90.00 beta=90.00 gamma=90.00
Sites, in units of the cell vectors:
Mn 0.0000 0.0000 0.0000
Mn 0.5000 0.5000 0.5000
Tl 0.0000 0.0000 0.3405
Tl 0.5000 0.5000 0.8405
Cd 0.0000 0.0000 0.6422
Cd 0.5000 0.5000 0.1422


[9]
MnTlCd: relaxed, PBE.

Values from the calculation:
M_tot, μB per cell: 14.102
Crystal system: cubic
Energy above the most stable polymorph in this dataset, meV per atom: 76
Formation enthalpy at 0 K, kJ per mole of atoms: 41
VASP energy, eV for the cell shown: -44.7

Unit cell a=6.5526 b=6.5526 c=6.5526 alpha=90.00 beta=90.00 gamma=90.00
Sites, in units of the cell vectors:
Mn 0.0000 0.0000 0.0000
Mn 0.0000 0.5000 0.5000
Mn 0.5000 0.0000 0.5000
Mn 0.5000 0.5000 0.0000
Tl 0.2500 0.2500 0.2500
Tl 0.2500 0.7500 0.7500
Tl 0.7500 0.2500 0.7500
Tl 0.7500 0.7500 0.2500
Cd 0.2500 0.2500 0.7500
Cd 0.2500 0.7500 0.2500
Cd 0.7500 0.2500 0.2500
Cd 0.7500 0.7500 0.7500


[10]
MnTlCd4: relaxed, PBE.

Values from the calculation:
M_tot, μB per cell: 4.277
Crystal system: cubic
Formation enthalpy at 0 K, kJ per mole of atoms: 27
VASP energy, eV for the cell shown: -13.5

Unit cell a=5.8477 b=5.8477 c=5.8477 alpha=60.00 beta=60.00 gamma=60.00
Sites, in units of the cell vectors:
Mn 0.0000 0.0000 0.0000
Tl 0.7500 0.7500 0.7500
Cd 0.3744 0.3744 0.3744
Cd 0.3744 0.3744 0.8769
Cd 0.3744 0.8769 0.3744
Cd 0.8769 0.3744 0.3744


[11]
MnTlCd3: relaxed, PBE.

Values from the calculation:
M_tot, μB per cell: 3.480
Crystal system: cubic
Energy above the most stable polymorph in this dataset, meV per atom: 0
Formation enthalpy at 0 K, kJ per mole of atoms: 43
VASP energy, eV for the cell shown: -12.1

Unit cell a=5.2551 b=5.2551 c=5.2551 alpha=90.00 beta=90.00 gamma=90.00
Sites, in units of the cell vectors:
Mn 0.0000 0.0000 0.0000
Tl 0.5000 0.5000 0.5000
Cd 0.0000 0.0000 0.5000
Cd 0.0000 0.5000 0.0000
Cd 0.5000 0.0000 0.0000


[12]
Mn2Tl2Cd: relaxed, PBE.

Values from the calculation:
M_tot, μB per cell: 15.115
Crystal system: tetragonal
Energy above the most stable polymorph in this dataset, meV per atom: 124
Formation enthalpy at 0 K, kJ per mole of atoms: 65
VASP energy, eV for the cell shown: -41.2

Unit cell a=4.2500 b=4.2500 c=13.1699 alpha=90.00 beta=90.00 gamma=90.00
Sites, in units of the cell vectors:
Mn 0.0000 0.0000 0.0951
Mn 0.0000 0.0000 0.9049
Mn 0.5000 0.5000 0.4049
Mn 0.5000 0.5000 0.5951
Tl 0.0000 0.5000 0.2500
Tl 0.0000 0.5000 0.7500
Tl 0.5000 0.0000 0.2500
Tl 0.5000 0.0000 0.7500
Cd 0.0000 0.0000 0.5000
Cd 0.5000 0.5000 0.0000


[13]
Tm12Mn5Cd3: relaxed, PBE.

Values from the calculation:
M_tot, μB per cell: 29.940
Crystal system: cubic
Formation enthalpy at 0 K, kJ per mole of atoms: 55
VASP energy, eV for the cell shown: -363.5

Unit cell a=14.3797 b=14.3797 c=14.3797 alpha=109.47 beta=109.47 gamma=109.47
Sites, in units of the cell vectors:
Tm 0.0272 0.1981 0.1056
Tm 0.0272 0.3291 0.9216
Tm 0.0784 0.6056 0.4075
Tm 0.0784 0.9728 0.6709
Tm 0.0925 0.6981 0.6709
Tm 0.0925 0.8944 0.4216
Tm 0.1056 0.0272 0.1981
Tm 0.1056 0.5784 0.9075
Tm 0.1709 0.1981 0.5925
Tm 0.1709 0.4728 0.5784
Tm 0.1981 0.1056 0.0272
Tm 0.1981 0.5925 0.1709
Tm 0.3019 0.3291 0.9075
Tm 0.3019 0.4728 0.3944
Tm 0.3291 0.9075 0.3019
Tm 0.3291 0.9216 0.0272
Tm 0.3944 0.3019 0.4728
Tm 0.3944 0.5925 0.9216
Tm 0.4075 0.0784 0.6056
Tm 0.4075 0.8291 0.8019
Tm 0.4216 0.0925 0.8944
Tm 0.4216 0.8291 0.5272
Tm 0.4728 0.3944 0.3019
Tm 0.4728 0.5784 0.1709
Tm 0.5272 0.4216 0.8291
Tm 0.5272 0.6056 0.6981
Tm 0.5784 0.1709 0.4728
Tm 0.5784 0.9075 0.1056
Tm 0.5925 0.1709 0.1981
Tm 0.5925 0.9216 0.3944
Tm 0.6056 0.4075 0.0784
Tm 0.6056 0.6981 0.5272
Tm 0.6709 0.0784 0.9728
Tm 0.6709 0.0925 0.6981
Tm 0.6981 0.5272 0.6056
Tm 0.6981 0.6709 0.0925
Tm 0.8019 0.4075 0.8291
Tm 0.8019 0.8944 0.9728
Tm 0.8291 0.5272 0.4216
Tm 0.8291 0.8019 0.4075
Tm 0.8944 0.4216 0.0925
Tm 0.8944 0.9728 0.8019
Tm 0.9075 0.1056 0.5784
Tm 0.9075 0.3019 0.3291
Tm 0.9216 0.0272 0.3291
Tm 0.9216 0.3944 0.5925
Tm 0.9728 0.6709 0.0784
Tm 0.9728 0.8019 0.8944
Mn 0.0000 0.0000 0.0000
Mn 0.0000 0.0000 0.5000
Mn 0.0000 0.5000 0.0000
Mn 0.0000 0.5000 0.5000
Mn 0.1250 0.7500 0.8750
Mn 0.1250 0.8750 0.2500
Mn 0.2500 0.1250 0.8750
Mn 0.2500 0.6250 0.3750
Mn 0.3750 0.2500 0.6250
Mn 0.3750 0.6250 0.7500
Mn 0.5000 0.0000 0.0000
Mn 0.5000 0.0000 0.5000
Mn 0.5000 0.5000 0.0000
Mn 0.5000 0.5000 0.5000
Mn 0.6250 0.3750 0.2500
Mn 0.6250 0.7500 0.3750
Mn 0.7500 0.3750 0.6250
Mn 0.7500 0.8750 0.1250
Mn 0.8750 0.1250 0.7500
Mn 0.8750 0.2500 0.1250
Cd 0.1250 0.2500 0.3750
Cd 0.1250 0.3750 0.7500
Cd 0.2500 0.3750 0.1250
Cd 0.2500 0.8750 0.6250
Cd 0.3750 0.1250 0.2500
Cd 0.3750 0.7500 0.1250
Cd 0.6250 0.2500 0.8750
Cd 0.6250 0.8750 0.7500
Cd 0.7500 0.1250 0.3750
Cd 0.7500 0.6250 0.8750
Cd 0.8750 0.6250 0.2500
Cd 0.8750 0.7500 0.6250


[14]
TmMnCd: relaxed, PBE.

Values from the calculation:
M_tot, μB per cell: 0.000
Crystal system: monoclinic
Formation enthalpy at 0 K, kJ per mole of atoms: 0
VASP energy, eV for the cell shown: -58.3

Unit cell a=13.8583 b=3.4862 c=5.2383 alpha=90.00 beta=103.03 gamma=90.00
Sites, in units of the cell vectors:
Tm 0.1352 0.0000 0.3241
Tm 0.3648 0.5000 0.6759
Tm 0.6352 0.5000 0.3241
Tm 0.8648 0.0000 0.6759
Mn 0.2344 0.0000 0.8848
Mn 0.2656 0.5000 0.1152
Mn 0.7344 0.5000 0.8848
Mn 0.7656 0.0000 0.1152
Cd 0.0686 0.5000 0.7899
Cd 0.4314 0.0000 0.2101
Cd 0.5686 0.0000 0.7899
Cd 0.9314 0.5000 0.2101


[15]
Tm6Mn2Cd: relaxed, PBE.

Values from the calculation:
M_tot, μB per cell: 3.616
Crystal system: orthorhombic
Formation enthalpy at 0 K, kJ per mole of atoms: -4
VASP energy, eV for the cell shown: -93.0

Unit cell a=8.2949 b=8.2949 c=8.2949 alpha=110.97 beta=110.07 gamma=107.39
Sites, in units of the cell vectors:
Tm 0.0131 0.2304 0.7827
Tm 0.1897 0.2859 0.4756
Tm 0.1897 0.7141 0.9039
Tm 0.3124 0.0203 0.7079
Tm 0.3124 0.6045 0.2921
Tm 0.4476 0.2304 0.2172
Tm 0.5524 0.7696 0.7827
Tm 0.6876 0.3955 0.7079
Tm 0.6876 0.9797 0.2921
Tm 0.8103 0.2859 0.0961
Tm 0.8103 0.7141 0.5244
Tm 0.9869 0.7696 0.2172
Mn 0.1061 0.6061 0.5000
Mn 0.3865 0.0000 0.3865
Mn 0.6135 0.0000 0.6135
Mn 0.8939 0.3939 0.5000
Cd 0.0000 0.0000 0.0000
Cd 0.5000 0.5000 0.0000


[16]
Tm3MnCd: relaxed, PBE.

Values from the calculation:
M_tot, μB per cell: 0.000
Crystal system: monoclinic
Formation enthalpy at 0 K, kJ per mole of atoms: -9
VASP energy, eV for the cell shown: -47.9

Unit cell a=8.6020 b=3.5629 c=8.7042 alpha=90.00 beta=112.36 gamma=90.00
Sites, in units of the cell vectors:
Tm 0.0529 0.2500 0.2161
Tm 0.3159 0.2500 0.8989
Tm 0.3274 0.7500 0.5650
Tm 0.6726 0.2500 0.4350
Tm 0.6841 0.7500 0.1011
Tm 0.9471 0.7500 0.7839
Mn 0.0512 0.2500 0.5694
Mn 0.9488 0.7500 0.4306
Cd 0.3557 0.7500 0.2063
Cd 0.6443 0.2500 0.7937


[17]
MnVCd2: relaxed, PBE.

Values from the calculation:
M_tot, μB per cell: 4.396
Crystal system: tetragonal
Energy above the most stable polymorph in this dataset, meV per atom: 341
Formation enthalpy at 0 K, kJ per mole of atoms: 67
VASP energy, eV for the cell shown: -69.3

Unit cell a=7.6000 b=7.6000 c=5.5188 alpha=90.00 beta=90.00 gamma=90.00
Sites, in units of the cell vectors:
Mn 0.0000 0.0000 0.0000
Mn 0.0000 0.5000 0.2500
Mn 0.5000 0.0000 0.7500
Mn 0.5000 0.5000 0.5000
V 0.0000 0.0000 0.5000
V 0.0000 0.5000 0.7500
V 0.5000 0.0000 0.2500
V 0.5000 0.5000 0.0000
Cd 0.2418 0.7500 0.1250
Cd 0.2500 0.2418 0.8750
Cd 0.2500 0.2582 0.3750
Cd 0.2582 0.7500 0.6250
Cd 0.7418 0.2500 0.6250
Cd 0.7500 0.7418 0.3750
Cd 0.7500 0.7582 0.8750
Cd 0.7582 0.2500 0.1250


[18]
MnVCd2: relaxed, PBE.

Values from the calculation:
M_tot, μB per cell: 4.081
Crystal system: cubic
Energy above the most stable polymorph in this dataset, meV per atom: 0
Formation enthalpy at 0 K, kJ per mole of atoms: 34
VASP energy, eV for the cell shown: -74.8

Unit cell a=6.5893 b=6.5893 c=6.5893 alpha=90.00 beta=90.00 gamma=90.00
Sites, in units of the cell vectors:
Mn 0.0000 0.0000 0.0000
Mn 0.0000 0.5000 0.5000
Mn 0.5000 0.0000 0.5000
Mn 0.5000 0.5000 0.0000
V 0.0000 0.0000 0.5000
V 0.0000 0.5000 0.0000
V 0.5000 0.0000 0.0000
V 0.5000 0.5000 0.5000
Cd 0.2500 0.2500 0.2500
Cd 0.2500 0.2500 0.7500
Cd 0.2500 0.7500 0.2500
Cd 0.2500 0.7500 0.7500
Cd 0.7500 0.2500 0.2500
Cd 0.7500 0.2500 0.7500
Cd 0.7500 0.7500 0.2500
Cd 0.7500 0.7500 0.7500


[19]
Mn2V2Cd: relaxed, PBE.

Values from the calculation:
M_tot, μB per cell: 2.755
Crystal system: tetragonal
Formation enthalpy at 0 K, kJ per mole of atoms: 19
VASP energy, eV for the cell shown: -73.1

Unit cell a=7.1000 b=7.1000 c=2.8619 alpha=90.00 beta=90.00 gamma=90.00
Sites, in units of the cell vectors:
Mn 0.1364 0.3636 0.0000
Mn 0.3636 0.8636 0.0000
Mn 0.6364 0.1364 0.0000
Mn 0.8636 0.6364 0.0000
V 0.1527 0.6527 0.5000
V 0.3473 0.1527 0.5000
V 0.6527 0.8473 0.5000
V 0.8473 0.3473 0.5000
Cd 0.0000 0.0000 0.0000
Cd 0.5000 0.5000 0.0000


[20]
MnV2Cd: relaxed, PBE.

Values from the calculation:
M_tot, μB per cell: 7.389
Crystal system: tetragonal
Formation enthalpy at 0 K, kJ per mole of atoms: 72
VASP energy, eV for the cell shown: -101.4

Unit cell a=3.6867 b=3.6867 c=19.1058 alpha=90.00 beta=90.00 gamma=90.00
Sites, in units of the cell vectors:
Mn 0.0000 0.0000 0.0000
Mn 0.0000 0.5000 0.2500
Mn 0.5000 0.0000 0.7500
Mn 0.5000 0.5000 0.5000
V 0.2310 0.2500 0.1250
V 0.2500 0.7310 0.3750
V 0.2500 0.7690 0.8750
V 0.2690 0.2500 0.6250
V 0.7310 0.7500 0.6250
V 0.7500 0.2310 0.8750
V 0.7500 0.2690 0.3750
V 0.7690 0.7500 0.1250
Cd 0.0000 0.0000 0.5000
Cd 0.0000 0.5000 0.7500
Cd 0.5000 0.0000 0.2500
Cd 0.5000 0.5000 0.0000


[21]
Mn3VCd: relaxed, PBE.

Values from the calculation:
M_tot, μB per cell: 7.265
Crystal system: cubic
Energy above the most stable polymorph in this dataset, meV per atom: 0
Formation enthalpy at 0 K, kJ per mole of atoms: 83
VASP energy, eV for the cell shown: -33.2

Unit cell a=4.4467 b=4.4467 c=4.4467 alpha=90.00 beta=90.00 gamma=90.00
Sites, in units of the cell vectors:
Mn 0.0000 0.0000 0.5000
Mn 0.0000 0.5000 0.0000
Mn 0.5000 0.0000 0.0000
V 0.0000 0.0000 0.0000
Cd 0.5000 0.5000 0.5000


[22]
Mn2CdW: relaxed, PBE.

Values from the calculation:
M_tot, μB per cell: 4.521
Crystal system: monoclinic
Formation enthalpy at 0 K, kJ per mole of atoms: 46
VASP energy, eV for the cell shown: -60.6

Unit cell a=9.6873 b=2.8325 c=4.5058 alpha=90.00 beta=110.03 gamma=90.00
Sites, in units of the cell vectors:
Mn 0.0000 0.0000 0.0000
Mn 0.2048 0.5000 0.2583
Mn 0.5000 0.5000 0.0000
Mn 0.7048 0.0000 0.2583
Cd 0.2408 0.0000 0.7867
Cd 0.7408 0.5000 0.7867
W 0.4607 0.0000 0.4614
W 0.9607 0.5000 0.4614


[23]
Mn2CdW: relaxed, PBE.

Values from the calculation:
M_tot, μB per cell: 2.313
Crystal system: tetragonal
Formation enthalpy at 0 K, kJ per mole of atoms: 43
VASP energy, eV for the cell shown: -30.4

Unit cell a=4.2487 b=4.2487 c=3.2005 alpha=90.00 beta=90.00 gamma=90.00
Sites, in units of the cell vectors:
Mn 0.0000 0.5000 0.0000
Mn 0.5000 0.0000 0.0000
Cd 0.0000 0.0000 0.5000
W 0.5000 0.5000 0.5000